This record from the Alexandria database describes an optimized crystal structure of HfBSe. The functional is GGA-PBE.

Results
Calculated density, g/cm3: 7.601
ΔE_f (raw), meV/atom: -554

Cell and atoms, written as POSCAR:
```
HfBSe
1.0
-2.260 -1.573 2.357
-2.791 -2.040 -1.251
5.001 -8.819 1.694
Hf Se B
2 2 2
Direct
0.832 0.011 0.325 Hf
0.168 0.989 0.675 Hf
0.743 0.678 0.836 Se
0.257 0.322 0.164 Se
0.567 0.317 0.549 B
0.433 0.683 0.451 B
```

=====

This record from the Alexandria database describes an optimized crystal structure of Hf3BSe. The functional is GGA-PBE.

Results
Distance to the lowest polymorph of the same formula, meV/atom: 0
Calculated density, g/cm3: 11.108
ΔE_f (raw), meV/atom: -606

Cell and atoms, written as POSCAR:
```
Hf3BSe
1.0
3.421 0.000 0.000
0.000 7.315 0.858
0.000 -0.837 7.371
B Hf Se
2 6 2
Direct
0.750 0.624 0.718 B
0.250 0.376 0.282 B
0.750 0.603 0.364 Hf
0.250 0.656 0.974 Hf
0.750 0.155 0.374 Hf
0.250 0.845 0.626 Hf
0.250 0.397 0.636 Hf
0.750 0.344 0.026 Hf
0.250 0.885 0.258 Se
0.750 0.115 0.742 Se
```

=====

This record from the Alexandria database describes an optimized crystal structure of Hf4BSe. The functional is GGA-PBE.

Results
Calculated density, g/cm3: 11.225
ΔE_f (raw), meV/atom: -439

Cell and atoms, written as POSCAR:
```
Hf4BSe
1.0
-2.442 -4.817 2.336
-0.445 -1.720 -5.364
7.924 0.200 1.961
Hf Se B
8 2 2
Direct
0.755 0.118 0.649 Hf
0.394 0.532 0.649 Hf
0.359 0.210 0.900 Hf
0.041 0.690 0.900 Hf
0.959 0.310 0.100 Hf
0.606 0.468 0.351 Hf
0.245 0.882 0.351 Hf
0.641 0.790 0.100 Hf
0.948 0.198 0.395 Se
0.052 0.802 0.605 Se
0.686 0.436 0.873 B
0.314 0.564 0.127 B
```

=====

This record from the Alexandria database describes an optimized crystal structure of HfBSe2. The functional is GGA-PBE.

Results
Calculated density, g/cm3: 7.523
ΔE_f (raw), meV/atom: 163

Cell and atoms, written as POSCAR:
```
HfBSe2
1.0
5.782 0.000 0.000
0.000 5.782 0.000
2.891 2.891 4.585
Hf Se B
2 4 2
Direct
0.750 0.250 0.500 Hf
0.000 0.000 0.000 Hf
0.205 0.625 0.250 Se
0.875 0.795 0.750 Se
0.545 0.125 0.250 Se
0.375 0.455 0.750 Se
0.500 0.500 0.000 B
0.250 0.750 0.500 B
```

=====

no.,calculated volume (Å³/atom),total magnetic moment (μB per formula unit),D(E_F) (states/eV/f.u.)
1,19.53,0.0,0.79
2,18.69,0.0,1.90
3,19.82,0.0,3.55
4,19.16,0.0,2.82